[1]
Below is crystalline Ni2PtO2 at its relaxed geometry, with properties calculated at the PBEsol level.

a = 5.504 Å, b = 5.504 Å, c = 5.504 Å
α = 146.10°, β = 146.10°, γ = 48.70°
Sites, in units of the cell vectors:
Ni (0.142, 0.142, 0.000)
Ni (0.858, 0.858, 0.000)
Pt (0.500, 0.500, 0.000)
O (0.250, 0.750, 0.500)
O (0.750, 0.250, 0.500)

## Properties
Its space group is I4/mmm. As for the total energy: -0.4381 Ry/atom. Its formation energy (no corrections) is -0.005 eV per atom. For the volume, the calculation gives 10.330 Å³/atom. The crystal system is tetragonal.

[2]
Below is crystalline NiPt2RhO at its relaxed geometry, with properties calculated at the PBEsol level.

a = 4.254 Å, b = 4.254 Å, c = 3.587 Å
α = 90.00°, β = 90.00°, γ = 90.00°
Sites, in units of the cell vectors:
Ni (0.000, 0.000, 0.000)
Pt (0.000, 0.500, 0.500)
Pt (0.500, 0.000, 0.500)
Rh (0.500, 0.500, 0.000)
O (0.000, 0.000, 0.500)

## Properties
Its space group is P4/mmm. As for the total energy: -0.4626 Ry/atom. Its formation energy (no corrections) is 0.400 eV per atom. For the volume, the calculation gives 12.980 Å³/atom. The crystal system is tetragonal.

[3]
Below is crystalline Sm2NiPtO6 at its relaxed geometry, with properties calculated at the PBEsol level.

a = 5.281 Å, b = 5.763 Å, c = 9.259 Å
α = 90.00°, β = 124.64°, γ = 90.00°
Sites, in units of the cell vectors:
Sm (0.225, 0.079, 0.250)
Sm (0.225, 0.421, 0.750)
Sm (0.775, 0.579, 0.250)
Sm (0.775, 0.921, 0.750)
Ni (0.000, 0.000, 0.500)
Ni (0.000, 0.500, 0.000)
Pt (0.500, 0.000, 0.000)
Pt (0.500, 0.500, 0.500)
O (0.132, 0.195, 0.947)
O (0.132, 0.305, 0.447)
O (0.262, 0.696, 0.947)
O (0.262, 0.804, 0.447)
O (0.357, 0.035, 0.747)
O (0.357, 0.465, 0.247)
O (0.643, 0.535, 0.753)
O (0.643, 0.965, 0.253)
O (0.738, 0.196, 0.553)
O (0.738, 0.304, 0.053)
O (0.868, 0.695, 0.553)
O (0.868, 0.805, 0.053)

## Properties
Its space group is P2_1/c. As for the total energy: -0.5573 Ry/atom. Its formation energy (no corrections) is -2.103 eV per atom. For the volume, the calculation gives 11.590 Å³/atom. The crystal system is monoclinic.

[4]
Below is crystalline Sr3NiPtO6 at its relaxed geometry, with properties calculated at the PBEsol level.

a = 6.634 Å, b = 6.634 Å, c = 6.634 Å
α = 91.33°, β = 91.33°, γ = 91.33°
Sites, in units of the cell vectors:
Sr (0.114, 0.750, 0.386)
Sr (0.250, 0.614, 0.886)
Sr (0.386, 0.114, 0.750)
Sr (0.614, 0.886, 0.250)
Sr (0.750, 0.386, 0.114)
Sr (0.886, 0.250, 0.614)
Ni (0.250, 0.250, 0.250)
Ni (0.750, 0.750, 0.750)
Pt (0.000, 0.000, 0.000)
Pt (0.500, 0.500, 0.500)
O (0.036, 0.908, 0.712)
O (0.092, 0.288, 0.964)
O (0.212, 0.408, 0.536)
O (0.288, 0.964, 0.092)
O (0.408, 0.536, 0.212)
O (0.464, 0.788, 0.592)
O (0.536, 0.212, 0.408)
O (0.592, 0.464, 0.788)
O (0.712, 0.036, 0.908)
O (0.788, 0.592, 0.464)
O (0.908, 0.712, 0.036)
O (0.964, 0.092, 0.288)

## Properties
Its space group is R-3c. As for the total energy: -0.4740 Ry/atom. Its formation energy (no corrections) is -1.892 eV per atom. For the volume, the calculation gives 13.261 Å³/atom. The crystal system is trigonal.

[5]
Below is crystalline Rb5Si2NiO8 at its relaxed geometry, with properties calculated at the PBEsol level.

a = 6.711 Å, b = 6.711 Å, c = 13.645 Å
α = 93.18°, β = 93.18°, γ = 104.23°
Sites, in units of the cell vectors:
Rb (0.118, 0.427, 0.839)
Rb (0.134, 0.866, 0.750)
Rb (0.244, 0.567, 0.402)
Rb (0.427, 0.118, 0.339)
Rb (0.433, 0.756, 0.098)
Rb (0.567, 0.244, 0.902)
Rb (0.573, 0.882, 0.661)
Rb (0.756, 0.433, 0.598)
Rb (0.866, 0.134, 0.250)
Rb (0.882, 0.573, 0.161)
Si (0.223, 0.288, 0.619)
Si (0.288, 0.223, 0.119)
Si (0.712, 0.777, 0.881)
Si (0.777, 0.712, 0.381)
Ni (0.000, 0.000, 0.000)
Ni (0.000, 0.000, 0.500)
O (0.017, 0.874, 0.379)
O (0.126, 0.983, 0.121)
O (0.196, 0.246, 0.003)
O (0.213, 0.526, 0.625)
O (0.224, 0.382, 0.197)
O (0.246, 0.196, 0.503)
O (0.382, 0.224, 0.697)
O (0.474, 0.787, 0.875)
O (0.526, 0.213, 0.125)
O (0.618, 0.776, 0.303)
O (0.754, 0.804, 0.497)
O (0.776, 0.618, 0.803)
O (0.787, 0.474, 0.375)
O (0.804, 0.754, 0.997)
O (0.874, 0.017, 0.879)
O (0.983, 0.126, 0.621)

## Properties
Its space group is C2/c. As for the total energy: -0.4426 Ry/atom. Its formation energy (no corrections) is -1.973 eV per atom. For the volume, the calculation gives 18.537 Å³/atom. The crystal system is monoclinic.

[6]
Below is crystalline RbNi2SnO at its relaxed geometry, with properties calculated at the PBEsol level.

a = 4.307 Å, b = 4.307 Å, c = 6.458 Å
α = 90.00°, β = 90.00°, γ = 90.00°
Sites, in units of the cell vectors:
Rb (0.000, 0.000, 0.000)
Ni (0.000, 0.500, 0.000)
Ni (0.500, 0.000, 0.000)
Sn (0.000, 0.000, 0.500)
O (0.500, 0.500, 0.500)

## Properties
Its space group is P4/mmm. As for the total energy: -0.1773 Ry/atom. Its formation energy (no corrections) is 2.157 eV per atom. For the volume, the calculation gives 23.959 Å³/atom. The crystal system is tetragonal.

[7]
Below is crystalline Re3NiO at its relaxed geometry, with properties calculated at the PBEsol level.

a = 4.376 Å, b = 4.376 Å, c = 4.376 Å
α = 90.00°, β = 90.00°, γ = 90.00°
Sites, in units of the cell vectors:
Re (0.000, 0.000, 0.500)
Re (0.000, 0.500, 0.000)
Re (0.500, 0.000, 0.000)
Ni (0.000, 0.000, 0.000)
O (0.500, 0.500, 0.500)

## Properties
Its space group is Pm-3m. As for the total energy: -0.5587 Ry/atom. Its formation energy (no corrections) is 2.679 eV per atom. For the volume, the calculation gives 16.763 Å³/atom. The crystal system is cubic.

[8]
Below is crystalline NiSb2O6 at its relaxed geometry, with properties calculated at the PBEsol level.

a = 4.651 Å, b = 4.651 Å, c = 9.290 Å
α = 90.00°, β = 90.00°, γ = 90.00°
Sites, in units of the cell vectors:
Ni (0.000, 0.000, 0.000)
Ni (0.500, 0.500, 0.500)
Sb (0.000, 0.000, 0.333)
Sb (0.000, 0.000, 0.667)
Sb (0.500, 0.500, 0.167)
Sb (0.500, 0.500, 0.833)
O (0.194, 0.194, 0.500)
O (0.195, 0.195, 0.168)
O (0.195, 0.195, 0.832)
O (0.305, 0.695, 0.332)
O (0.305, 0.695, 0.668)
O (0.306, 0.694, 0.000)
O (0.694, 0.306, 0.000)
O (0.695, 0.305, 0.332)
O (0.695, 0.305, 0.668)
O (0.805, 0.805, 0.168)
O (0.805, 0.805, 0.832)
O (0.806, 0.806, 0.500)

## Properties
Its space group is P4_2/mnm. As for the total energy: -0.4759 Ry/atom. Its formation energy (no corrections) is -1.278 eV per atom. For the volume, the calculation gives 11.162 Å³/atom. The crystal system is tetragonal.

[9]
Below is crystalline Ni3SbO at its relaxed geometry, with properties calculated at the PBEsol level.

a = 4.603 Å, b = 4.603 Å, c = 4.603 Å
α = 90.00°, β = 90.00°, γ = 90.00°
Sites, in units of the cell vectors:
Ni (0.000, 0.000, 0.500)
Ni (0.000, 0.500, 0.000)
Ni (0.500, 0.000, 0.000)
Sb (0.000, 0.000, 0.000)
O (0.500, 0.500, 0.500)

## Properties
Its space group is Pm-3m. As for the total energy: -0.3040 Ry/atom. Its formation energy (no corrections) is 1.520 eV per atom. For the volume, the calculation gives 19.503 Å³/atom. The crystal system is cubic.

[10]
Below is crystalline NiSbTe2O at its relaxed geometry, with properties calculated at the PBEsol level.

a = 4.922 Å, b = 4.922 Å, c = 4.811 Å
α = 90.00°, β = 90.00°, γ = 90.00°
Sites, in units of the cell vectors:
Ni (0.000, 0.000, 0.000)
Sb (0.000, 0.000, 0.500)
Te (0.000, 0.500, 0.000)
Te (0.500, 0.000, 0.000)
O (0.500, 0.500, 0.500)

## Properties
Its space group is P4/mmm. As for the total energy: -0.2892 Ry/atom. Its formation energy (no corrections) is 0.669 eV per atom. For the volume, the calculation gives 23.308 Å³/atom. The crystal system is tetragonal.

[11]
Below is crystalline ScNi3O at its relaxed geometry, with properties calculated at the PBEsol level.

a = 3.870 Å, b = 3.870 Å, c = 3.870 Å
α = 90.00°, β = 90.00°, γ = 90.00°
Sites, in units of the cell vectors:
Sc (0.000, 0.000, 0.000)
Ni (0.000, 0.500, 0.500)
Ni (0.500, 0.000, 0.500)
Ni (0.500, 0.500, 0.000)
O (0.500, 0.500, 0.500)

## Properties
Its space group is Pm-3m. As for the total energy: -0.4746 Ry/atom. Its formation energy (no corrections) is -0.392 eV per atom. For the volume, the calculation gives 11.588 Å³/atom. The crystal system is cubic.

[12]
Below is crystalline NiSeO3 at its relaxed geometry, with properties calculated at the PBEsol level.

a = 5.825 Å, b = 7.346 Å, c = 4.920 Å
α = 90.00°, β = 90.00°, γ = 90.00°
Sites, in units of the cell vectors:
Ni (0.000, 0.000, 0.000)
Ni (0.000, 0.500, 0.000)
Ni (0.500, 0.000, 0.500)
Ni (0.500, 0.500, 0.500)
Se (0.011, 0.250, 0.480)
Se (0.489, 0.750, 0.980)
Se (0.511, 0.250, 0.020)
Se (0.989, 0.750, 0.520)
O (0.073, 0.250, 0.829)
O (0.183, 0.070, 0.358)
O (0.183, 0.430, 0.358)
O (0.317, 0.570, 0.858)
O (0.317, 0.930, 0.858)
O (0.427, 0.750, 0.329)
O (0.573, 0.250, 0.671)
O (0.683, 0.070, 0.142)
O (0.683, 0.430, 0.142)
O (0.817, 0.570, 0.642)
O (0.817, 0.930, 0.642)
O (0.927, 0.750, 0.171)

## Properties
Its space group is Pnma. As for the total energy: -0.4303 Ry/atom. Its formation energy (no corrections) is -0.704 eV per atom. For the volume, the calculation gives 10.527 Å³/atom. The crystal system is orthorhombic.